# 1
Y2NbRu2 | meta-GGA SCAN | single point on PBEsol structure

abc: 4.661 6.599 6.599
angles: 90.00 90.00 90.00
Atoms (fractional coordinates):
Nb: 0.000 0.500 0.500
Nb: 0.000 0.000 0.000
Y: 0.500 0.679 0.821
Y: 0.500 0.179 0.679
Y: 0.500 0.321 0.179
Y: 0.500 0.821 0.321
Ru: 0.000 0.632 0.132
Ru: 0.000 0.868 0.632
Ru: 0.000 0.368 0.868
Ru: 0.000 0.132 0.368

Computed properties:
ΔE to the lowest computed polymorph	0	meV/atom
symmetry	P4/mbm, No. 127
crystal system	tetragonal
formation enthalpy at 0 K	-1.39	eV per formula unit
calculated density	7.74	g/cm3


# 2
YNbRu3 | meta-GGA SCAN | single point on PBEsol structure

abc: 4.666 4.666 4.666
angles: 90.00 90.00 90.00
Atoms (fractional coordinates):
Nb: 0.000 0.000 0.000
Ru: 0.500 0.000 0.000
Ru: 0.000 0.000 0.500
Ru: 0.000 0.500 0.000
Y: 0.500 0.500 0.500

Computed properties:
symmetry	Pm-3m, No. 221
crystal system	cubic
formation enthalpy at 0 K	3.44	eV per formula unit
calculated density	7.93	g/cm3